P.
Material: InPd3Br
Method: DFT, GGA-PBE
State: relaxed Values from VASP.

The structure in Quantum ESPRESSO input format:
```
&SYSTEM
  ibrav = 0, nat = 5, ntyp = 3
/
ATOMIC_SPECIES
In 114.82 In.upf
Pd 106.42 Pd.upf
Br 79.90 Br.upf
CELL_PARAMETERS angstrom
5.034 0.000 0.000
0.000 5.034 0.000
0.000 0.000 5.034
ATOMIC_POSITIONS angstrom
In 0.000 0.000 0.000
Pd 0.000 0.000 2.517
Pd 0.000 2.517 0.000
Pd 2.517 0.000 0.000
Br 2.517 2.517 2.517
```

Values from the calculation:
**Space group**: Pm-3m (221)
**Mass density**: 6.7 g/cm³

Q.
Material: InPd3Br
Method: DFT, GGA-PBE
State: relaxed Values from VASP.

The structure in Quantum ESPRESSO input format:
```
&SYSTEM
  ibrav = 0, nat = 5, ntyp = 3
/
ATOMIC_SPECIES
In 114.82 In.upf
Pd 106.42 Pd.upf
Br 79.90 Br.upf
CELL_PARAMETERS angstrom
4.841 0.000 0.000
0.000 4.841 0.000
0.000 0.000 4.841
ATOMIC_POSITIONS angstrom
In 0.000 0.000 0.000
Pd 0.000 2.421 2.421
Pd 2.421 0.000 2.421
Pd 2.421 2.421 0.000
Br 2.421 2.421 2.421
```

Values from the calculation:
**Space group**: Pm-3m (221)
**Mass density**: 7.5 g/cm³

So which one is most stable? That would be Q, about 201 meV/atom below the next structure.

P.
Material: Pm2InBr
Method: DFT, GGA-PBE
State: relaxed Values from VASP.

The structure in Quantum ESPRESSO input format:
```
&SYSTEM
  ibrav = 0, nat = 4, ntyp = 3
/
ATOMIC_SPECIES
Pm 145.00 Pm.upf
In 114.82 In.upf
Br 79.90 Br.upf
CELL_PARAMETERS angstrom
1.902 1.098 9.270
-1.902 1.098 9.270
0.000 -2.197 9.270
ATOMIC_POSITIONS angstrom
Pm 0.000 0.000 0.000
Pm 0.000 0.000 4.564
In 0.000 0.000 16.192
Br 0.000 0.000 20.835
```

Values from the calculation:
**Space group**: R3m (160)
**Mass density**: 6.9 g/cm³

Q.
Material: Pm2InBr
Method: DFT, GGA-PBE
State: relaxed Values from VASP.

The structure in Quantum ESPRESSO input format:
```
&SYSTEM
  ibrav = 0, nat = 4, ntyp = 3
/
ATOMIC_SPECIES
Pm 145.00 Pm.upf
In 114.82 In.upf
Br 79.90 Br.upf
CELL_PARAMETERS angstrom
3.582 0.000 0.000
0.000 3.582 0.000
0.000 0.000 8.578
ATOMIC_POSITIONS angstrom
Pm 0.000 0.000 2.081
Pm 0.000 0.000 6.497
In 1.791 1.791 0.000
Br 1.791 1.791 4.289
```

Values from the calculation:
**Space group**: P4/mmm (123)
**Mass density**: 7.3 g/cm³

So which one is most stable? That would be P, about 9 meV/atom below the next structure.

P.
Material: PmInBr4
Method: DFT, GGA-PBE
State: relaxed Values from VASP.

The structure in Quantum ESPRESSO input format:
```
&SYSTEM
  ibrav = 0, nat = 12, ntyp = 3
/
ATOMIC_SPECIES
Pm 145.00 Pm.upf
In 114.82 In.upf
Br 79.90 Br.upf
CELL_PARAMETERS angstrom
-4.331 4.830 6.828
4.331 -4.830 6.828
4.331 4.830 -6.828
ATOMIC_POSITIONS angstrom
Pm -2.166 2.415 3.414
Pm 2.166 2.415 3.414
In 0.000 0.000 0.000
In 0.000 4.830 0.000
Br 0.000 0.431 3.389
Br 2.170 2.415 0.581
Br 6.492 2.415 0.581
Br 4.331 0.431 3.439
Br 0.000 4.399 3.389
Br -2.161 2.415 6.247
Br 2.161 2.415 6.247
Br 4.331 4.399 3.439
```

Values from the calculation:
**Space group**: Imma (74)
**Mass density**: 3.4 g/cm³

Q.
Material: PmInBr4
Method: DFT, GGA-PBE
State: relaxed Values from VASP.

The structure in Quantum ESPRESSO input format:
```
&SYSTEM
  ibrav = 0, nat = 12, ntyp = 3
/
ATOMIC_SPECIES
Pm 145.00 Pm.upf
In 114.82 In.upf
Br 79.90 Br.upf
CELL_PARAMETERS angstrom
8.768 -3.582 0.000
8.768 3.582 0.000
-2.003 0.000 7.575
ATOMIC_POSITIONS angstrom
Pm 4.384 1.791 0.000
Pm 3.382 -1.791 3.788
In 7.266 1.949 5.681
In 8.268 -1.949 1.894
Br 7.003 2.864 0.289
Br 9.532 2.864 3.498
Br 4.701 0.536 2.615
Br 3.699 -0.536 6.403
Br 11.834 0.536 1.172
Br 10.833 -0.536 4.960
Br 6.002 -2.864 4.077
Br 8.530 -2.864 7.286
```

Values from the calculation:
**Space group**: C2/c (15)
**Mass density**: 4.0 g/cm³

So which one is most stable? That would be P, about 9 meV/atom below the next structure.

P.
Material: Pm2In5Br12
Method: DFT, GGA-PBE
State: relaxed Values from VASP.

The structure in Quantum ESPRESSO input format:
```
&SYSTEM
  ibrav = 0, nat = 19, ntyp = 3
/
ATOMIC_SPECIES
Pm 145.00 Pm.upf
In 114.82 In.upf
Br 79.90 Br.upf
CELL_PARAMETERS angstrom
8.505 -5.229 0.000
8.505 5.229 0.000
-2.312 0.000 7.275
ATOMIC_POSITIONS angstrom
Pm 8.505 2.622 0.000
Pm 8.505 -2.622 0.000
In 1.382 0.000 3.758
In 4.227 0.000 0.022
In 7.349 0.000 3.637
In 10.470 0.000 7.253
In 13.315 0.000 3.517
Br -1.470 0.000 5.768
Br 3.840 3.232 5.611
Br 6.237 1.998 1.857
Br 10.857 3.232 1.664
Br 8.460 1.998 5.418
Br 5.255 0.000 5.794
Br 9.443 0.000 1.481
Br 6.237 -1.998 1.857
Br 3.840 -3.232 5.611
Br 8.460 -1.998 5.418
Br 10.857 -3.232 1.664
Br 16.167 0.000 1.506
```

Values from the calculation:
**Space group**: C2/m (12)
**Mass density**: 4.7 g/cm³

Q.
Material: Pm2In5Br12
Method: DFT, GGA-PBE
State: relaxed Values from VASP.

The structure in Quantum ESPRESSO input format:
```
&SYSTEM
  ibrav = 0, nat = 19, ntyp = 3
/
ATOMIC_SPECIES
Pm 145.00 Pm.upf
In 114.82 In.upf
Br 79.90 Br.upf
CELL_PARAMETERS angstrom
9.183 -4.330 0.000
9.183 4.330 0.000
-3.823 0.000 9.468
ATOMIC_POSITIONS angstrom
Pm 9.183 2.198 0.000
Pm 9.183 -2.198 0.000
In 0.213 0.000 7.745
In 3.014 0.000 3.428
In 7.272 0.000 4.734
In 11.530 0.000 6.040
In 14.331 0.000 1.723
Br -0.555 0.000 1.920
Br 2.639 2.283 8.689
Br 5.361 1.995 3.898
Br 9.183 1.995 5.569
Br 11.905 2.283 0.779
Br 5.856 0.000 7.594
Br 8.688 0.000 1.874
Br 2.639 -2.283 8.689
Br 5.361 -1.995 3.898
Br 9.183 -1.995 5.569
Br 11.905 -2.283 0.779
Br 15.099 0.000 7.548
```

Values from the calculation:
**Space group**: C2/m (12)
**Mass density**: 4.0 g/cm³

So which one is most stable? That would be P, about 9 meV/atom below the next structure.

P.
Material: In2PtBr
Method: DFT, GGA-PBE
State: relaxed Values from VASP.

The structure in Quantum ESPRESSO input format:
```
&SYSTEM
  ibrav = 0, nat = 4, ntyp = 3
/
ATOMIC_SPECIES
In 114.82 In.upf
Pt 195.08 Pt.upf
Br 79.90 Br.upf
CELL_PARAMETERS angstrom
1.983 1.145 7.594
-1.983 1.145 7.594
0.000 -2.290 7.594
ATOMIC_POSITIONS angstrom
In 0.000 0.000 0.000
In 0.000 0.000 5.324
Pt 0.000 0.000 16.520
Br 0.000 0.000 10.765
```

Values from the calculation:
**Space group**: R3m (160)
**Mass density**: 8.1 g/cm³

Q.
Material: In2PtBr
Method: DFT, GGA-PBE
State: relaxed Values from VASP.

The structure in Quantum ESPRESSO input format:
```
&SYSTEM
  ibrav = 0, nat = 4, ntyp = 3
/
ATOMIC_SPECIES
In 114.82 In.upf
Pt 195.08 Pt.upf
Br 79.90 Br.upf
CELL_PARAMETERS angstrom
0.000 3.616 3.616
3.616 0.000 3.616
3.616 3.616 0.000
ATOMIC_POSITIONS angstrom
In 1.808 1.808 1.808
In 5.424 5.424 5.424
Pt 0.000 0.000 0.000
Br 3.616 3.616 3.616
```

Values from the calculation:
**Space group**: Fm-3m (225)
**Mass density**: 8.9 g/cm³

So which one is most stable? That would be P, about 150 meV/atom below the next structure.

P.
Material: InPt3Br
Method: DFT, GGA-PBE
State: relaxed Values from VASP.

The structure in Quantum ESPRESSO input format:
```
&SYSTEM
  ibrav = 0, nat = 5, ntyp = 3
/
ATOMIC_SPECIES
In 114.82 In.upf
Pt 195.08 Pt.upf
Br 79.90 Br.upf
CELL_PARAMETERS angstrom
5.023 0.000 0.000
0.000 5.023 0.000
0.000 0.000 5.023
ATOMIC_POSITIONS angstrom
In 0.000 0.000 0.000
Pt 0.000 0.000 2.511
Pt 0.000 2.511 0.000
Pt 2.511 0.000 0.000
Br 2.511 2.511 2.511
```

Values from the calculation:
**Space group**: Pm-3m (221)
**Mass density**: 10.2 g/cm³

Q.
Material: InPt3Br
Method: DFT, GGA-PBE
State: relaxed Values from VASP.

The structure in Quantum ESPRESSO input format:
```
&SYSTEM
  ibrav = 0, nat = 5, ntyp = 3
/
ATOMIC_SPECIES
In 114.82 In.upf
Pt 195.08 Pt.upf
Br 79.90 Br.upf
CELL_PARAMETERS angstrom
4.822 0.000 0.000
0.000 4.822 0.000
0.000 0.000 4.822
ATOMIC_POSITIONS angstrom
In 0.000 0.000 0.000
Pt 0.000 2.411 2.411
Pt 2.411 0.000 2.411
Pt 2.411 2.411 0.000
Br 2.411 2.411 2.411
```

Values from the calculation:
**Space group**: Pm-3m (221)
**Mass density**: 11.6 g/cm³

So which one is most stable? That would be Q, about 225 meV/atom below the next structure.